RbLiWO4 GGA+U optimized geometry; SG = I-4 (82); E = -6.32 eV/atom
1.0
5.910 0.000 0.000
0.000 5.910 0.000
0.000 0.000 8.629
Rb Li W O
2 2 2 8
Direct
0.000 0.000 0.000
0.500 0.500 0.500
0.000 0.000 0.500
0.500 0.500 0.000
0.000 0.500 0.750
0.500 0.000 0.250
0.094 0.266 0.629
0.234 0.594 0.871
0.266 0.906 0.371
0.406 0.234 0.129
0.594 0.766 0.129
0.734 0.094 0.371
0.766 0.406 0.871
0.906 0.734 0.629